1.
DFT (PBE) results for a geometry-optimized YIO3 structure.

Unit cell a=4.3042 b=4.3042 c=4.3042 alpha=90.00 beta=90.00 gamma=90.00
Last column: nearest neighbours and their distance in Å.
Positions (direct):
I1 0.0000 0.0000 0.0000  6 O 2.15
Y1 0.5000 0.5000 0.5000  12 O 3.04
O1 0.0000 0.5000 0.0000  2 I 2.15
O2 0.0000 0.0000 0.5000  2 I 2.15
O3 0.5000 0.0000 0.0000  2 I 2.15

## Properties
* total energy: -0.1894 hartree per atom
* symmetry: No. 221
* formation energy (no corrections): -0.576 eV per atom


2.
DFT (PBE) results for a geometry-optimized YIO3 structure.

Unit cell a=4.3711 b=4.3711 c=4.3711 alpha=90.00 beta=90.00 gamma=90.00
Last column: nearest neighbours and their distance in Å.
Positions (direct):
I1 0.5000 0.5000 0.5000  12 O 3.09
Y1 0.0000 0.0000 0.0000  6 O 2.19
O1 0.0000 0.5000 0.0000  2 Y 2.19
O2 0.0000 0.0000 0.5000  2 Y 2.19
O3 0.5000 0.0000 0.0000  2 Y 2.19

## Properties
* total energy: -0.2052 hartree per atom
* symmetry: No. 221
* formation energy (no corrections): -1.005 eV per atom


3.
DFT (PBE) results for a geometry-optimized Y4IO10 structure.

Unit cell a=5.4216 b=6.5377 c=6.5377 alpha=80.10 beta=65.50 gamma=65.50
Last column: nearest neighbours and their distance in Å.
Positions (direct):
Y1 0.4033 0.7914 0.4020  8 O 2.28-2.45
Y2 0.8053 0.5980 0.7914  8 O 2.28-2.45
Y3 0.1947 0.4020 0.2086  8 O 2.28-2.45
Y4 0.5967 0.2086 0.5980  8 O 2.28-2.45
I1 0.0000 0.0000 0.0000  8 O 2.13
O1 0.2500 0.5000 0.5000  4 Y 2.28
O2 0.6728 0.2813 0.9186  1 I 2.13, 2 Y 2.37-2.38
O3 0.0458 0.0814 0.2813  1 I 2.13, 2 Y 2.37-2.38
O4 0.4085 0.9186 0.7187  1 I 2.13, 2 Y 2.37-2.38
O5 0.8728 0.7187 0.0814  1 I 2.13, 2 Y 2.37-2.38
O6 0.3272 0.7187 0.0814  1 I 2.13, 2 Y 2.37-2.38
O7 0.7500 0.5000 0.5000  4 Y 2.28
O8 0.1272 0.2813 0.9186  1 I 2.13, 2 Y 2.37-2.38
O9 0.5915 0.0814 0.2813  1 I 2.13, 2 Y 2.37-2.38
O10 0.9542 0.9186 0.7187  1 I 2.13, 2 Y 2.37-2.38

## Properties
* total energy: -0.2721 hartree per atom
* symmetry: No. 87
* formation energy (no corrections): -2.271 eV per atom


4.
DFT (PBE) results for a geometry-optimized YIO structure.

Unit cell a=3.7905 b=3.7905 c=10.9787 alpha=99.94 beta=99.94 gamma=90.00
Last column: nearest neighbours and their distance in Å.
Positions (direct):
Y1 0.0650 0.0650 0.1300  4 O 2.35
Y2 0.9350 0.9350 0.8700  4 O 2.35
I1 0.3457 0.3457 0.6913  4 Y 3.29
I2 0.6543 0.6543 0.3087  4 Y 3.29
O1 0.0000 0.5000 0.0000  4 Y 2.35
O2 0.5000 0.0000 0.0000  4 Y 2.35

## Properties
* total energy: -0.2389 hartree per atom
* symmetry: No. 139
* formation energy (no corrections): -2.176 eV per atom


5.
DFT (PBE) results for a geometry-optimized Y3IO structure.

Unit cell a=4.8733 b=4.8733 c=4.8733 alpha=90.00 beta=90.00 gamma=90.00
Last column: nearest neighbours and their distance in Å.
Positions (direct):
I1 0.5000 0.5000 0.5000  12 Y 3.45
Y1 0.0000 0.5000 0.0000  2 O 2.44
Y2 0.0000 0.0000 0.5000  2 O 2.44
Y3 0.5000 0.0000 0.0000  2 O 2.44
O1 0.0000 0.0000 0.0000  6 Y 2.44

## Properties
* total energy: -0.2268 hartree per atom
* symmetry: No. 221
* formation energy (no corrections): -0.992 eV per atom


6.
DFT (PBE) results for a geometry-optimized Y2IO structure.

Unit cell a=4.9335 b=4.9335 c=4.9335 alpha=60.00 beta=60.00 gamma=60.00
Last column: nearest neighbours and their distance in Å.
Positions (direct):
I1 0.5000 0.5000 0.5000  8 Y 3.02
Y1 0.2500 0.2500 0.2500  4 O 3.02, 4 I 3.02
Y2 0.7500 0.7500 0.7500  4 O 3.02, 4 I 3.02
O1 0.0000 0.0000 0.0000  8 Y 3.02

## Properties
* total energy: -0.2074 hartree per atom
* symmetry: No. 225
* formation energy (no corrections): -0.784 eV per atom


7.
DFT (PBE) results for a geometry-optimized Y2IO2 structure.

Unit cell a=4.0858 b=4.0858 c=6.6356 alpha=72.07 beta=72.07 gamma=90.00
Last column: nearest neighbours and their distance in Å.
Positions (direct):
I1 0.0000 0.0000 0.0000  8 Y 3.50, 8 O 3.62
Y1 0.3351 0.3351 0.3298  4 O 2.28
Y2 0.6649 0.6649 0.6702  4 O 2.28
O1 0.7500 0.2500 0.5000  4 Y 2.28
O2 0.2500 0.7500 0.5000  4 Y 2.28

## Properties
* total energy: -0.2786 hartree per atom
* symmetry: No. 139
* formation energy (no corrections): -2.702 eV per atom


8.
DFT (PBE) results for a geometry-optimized YIO structure.

Unit cell a=11.6824 b=11.6824 c=11.6824 alpha=19.44 beta=19.44 gamma=19.44
Last column: nearest neighbours and their distance in Å.
Positions (direct):
Y1 0.2924 0.2924 0.2924  4 O 2.27-2.34
Y2 0.7076 0.7076 0.7076  4 O 2.27-2.34
I1 0.1045 0.1045 0.1045  3 Y 3.16
I2 0.8955 0.8955 0.8955  3 Y 3.16
O1 0.3584 0.3584 0.3584  4 Y 2.27-2.34
O2 0.6416 0.6416 0.6416  4 Y 2.27-2.34

## Properties
* total energy: -0.2557 hartree per atom
* symmetry: No. 166
* formation energy (no corrections): -2.635 eV per atom


9.
DFT (PBE) results for a geometry-optimized Y2I3O structure.

Unit cell a=4.0657 b=10.8309 c=11.4996 alpha=112.30 beta=90.00 gamma=100.82
Last column: nearest neighbours and their distance in Å.
Positions (direct):
Y1 0.0726 0.1453 0.7395  2 O 2.28
Y2 0.9274 0.8547 0.2605  2 O 2.28
Y3 0.4310 0.8620 0.5290  2 O 2.24
Y4 0.5690 0.1380 0.4710  2 O 2.24
I1 0.9276 0.8552 0.7402  3 Y 3.09-3.19
I2 0.0724 0.1448 0.2598  3 Y 3.09-3.19
I3 0.3621 0.7241 0.0431  2 Y 3.10, 1 O 3.38
I4 0.6379 0.2759 0.9569  2 Y 3.10, 1 O 3.38
I5 0.1860 0.3721 0.6332  3 Y 3.10-3.20
I6 0.8140 0.6279 0.3668  3 Y 3.10-3.20
O1 0.5437 0.0873 0.6433  4 Y 2.24-2.28
O2 0.4563 0.9127 0.3567  4 Y 2.24-2.28

## Properties
* total energy: -0.2106 hartree per atom
* symmetry: No. 12
* formation energy (no corrections): -1.975 eV per atom


10.
DFT (PBE) results for a geometry-optimized YZnI2O structure.

Unit cell a=5.8520 b=5.8520 c=3.6833 alpha=90.00 beta=90.00 gamma=90.00
Last column: nearest neighbours and their distance in Å.
Positions (direct):
I1 0.0000 0.5000 0.0000  2 Zn 2.93
I2 0.5000 0.0000 0.0000  2 Zn 2.93
Y1 0.5000 0.5000 0.5000  8 I 3.46, 2 Y 3.68
Zn1 0.0000 0.0000 0.0000  2 O 1.84
O1 0.0000 0.0000 0.5000  2 Zn 1.84

## Properties
* total energy: -0.1420 hartree per atom
* symmetry: No. 123
* formation energy (no corrections): -0.706 eV per atom


11.
DFT (PBE) results for a geometry-optimized YZnIO2 structure.

Unit cell a=4.3022 b=4.3022 c=6.5922 alpha=90.00 beta=90.00 gamma=90.00
Last column: nearest neighbours and their distance in Å.
Positions (direct):
I1 0.0000 0.0000 0.5000  4 Zn 3.04, 2 Y 3.30
Y1 0.0000 0.0000 0.0000  4 O 2.15
Zn1 0.5000 0.5000 0.5000  4 I 3.04
O1 0.0000 0.5000 0.0000  2 Y 2.15
O2 0.5000 0.0000 0.0000  2 Y 2.15

## Properties
* total energy: -0.1845 hartree per atom
* symmetry: No. 123
* formation energy (no corrections): -1.181 eV per atom


12.
DFT (PBE) results for a geometry-optimized YZnI2O structure.

Unit cell a=6.2270 b=6.2270 c=4.1741 alpha=90.00 beta=90.00 gamma=90.00
Last column: nearest neighbours and their distance in Å.
Positions (direct):
I1 0.0000 0.5000 0.0000  2 Y 3.11
I2 0.5000 0.0000 0.0000  2 Y 3.11
Y1 0.0000 0.0000 0.0000  2 O 2.09
Zn1 0.5000 0.5000 0.5000  8 I 3.75, 2 Zn 4.17
O1 0.0000 0.0000 0.5000  2 Y 2.09

## Properties
* total energy: -0.1559 hartree per atom
* symmetry: No. 123
* formation energy (no corrections): -1.084 eV per atom


13.
DFT (PBE) results for a geometry-optimized YZnIO2 structure.

Unit cell a=4.2364 b=4.2364 c=4.9858 alpha=90.00 beta=90.00 gamma=90.00
Last column: nearest neighbours and their distance in Å.
Positions (direct):
I1 0.0000 0.0000 0.5000  2 Zn 2.49
Y1 0.5000 0.5000 0.5000  4 I 3.00, 8 O 3.27
Zn1 0.0000 0.0000 0.0000  4 O 2.12
O1 0.0000 0.5000 0.0000  2 Zn 2.12
O2 0.5000 0.0000 0.0000  2 Zn 2.12

## Properties
* total energy: -0.1673 hartree per atom
* symmetry: No. 123
* formation energy (no corrections): -0.710 eV per atom


14.
DFT (PBE) results for a geometry-optimized YZrIO2 structure.

Unit cell a=4.2009 b=4.2009 c=5.9779 alpha=90.00 beta=90.00 gamma=90.00
Last column: nearest neighbours and their distance in Å.
Positions (direct):
I1 0.0000 0.0000 0.5000  4 Y 2.97, 2 Zr 2.99
Y1 0.5000 0.5000 0.5000  4 I 2.97
O1 0.0000 0.5000 0.0000  2 Zr 2.10
O2 0.5000 0.0000 0.0000  2 Zr 2.10
Zr1 0.0000 0.0000 0.0000  4 O 2.10

## Properties
* total energy: -0.2503 hartree per atom
* symmetry: No. 123
* formation energy (no corrections): -1.515 eV per atom


15.
DFT (PBE) results for a geometry-optimized YZrIO2 structure.

Unit cell a=4.3587 b=4.3587 c=5.9016 alpha=90.00 beta=90.00 gamma=90.00
Last column: nearest neighbours and their distance in Å.
Positions (direct):
I1 0.0000 0.0000 0.5000  2 Y 2.95, 4 Zr 3.08
Y1 0.0000 0.0000 0.0000  4 O 2.18
O1 0.0000 0.5000 0.0000  2 Y 2.18
O2 0.5000 0.0000 0.0000  2 Y 2.18
Zr1 0.5000 0.5000 0.5000  4 I 3.08

## Properties
* total energy: -0.2331 hartree per atom
* symmetry: No. 123
* formation energy (no corrections): -1.049 eV per atom


16.
DFT (PBE) results for a geometry-optimized YbI2O structure.

Unit cell a=4.5311 b=8.7252 c=15.1723 alpha=90.00 beta=90.00 gamma=90.00
Last column: nearest neighbours and their distance in Å.
Positions (direct):
Yb1 0.7500 0.7742 0.9806  1 O 2.06
Yb2 0.7500 0.2742 0.5194  1 O 2.06
Yb3 0.2500 0.2258 0.0194  1 O 2.06
Yb4 0.2500 0.7258 0.4806  1 O 2.06
I1 0.7500 0.0483 0.1231  3 Yb 3.16-3.22
I2 0.7500 0.5483 0.3769  3 Yb 3.16-3.22
I3 0.2500 0.9517 0.8769  3 Yb 3.16-3.22
I4 0.2500 0.4517 0.6231  3 Yb 3.16-3.22
I5 0.2500 0.6533 0.1141  1 O 1.98
I6 0.2500 0.1533 0.3859  1 O 1.98
I7 0.7500 0.3467 0.8859  1 O 1.98
I8 0.7500 0.8467 0.6141  1 O 1.98
O1 0.7500 0.5685 0.9144  1 I 1.98, 1 Yb 2.06
O2 0.7500 0.0685 0.5856  1 I 1.98, 1 Yb 2.06
O3 0.2500 0.4315 0.0856  1 I 1.98, 1 Yb 2.06
O4 0.2500 0.9315 0.4144  1 I 1.98, 1 Yb 2.06

## Properties
* total energy: -0.1316 hartree per atom
* symmetry: No. 62
* formation energy (no corrections): -1.185 eV per atom


17.
DFT (PBE) results for a geometry-optimized YbI2O structure.

Unit cell a=6.2951 b=6.4148 c=13.7026 alpha=90.00 beta=90.00 gamma=90.00
Last column: nearest neighbours and their distance in Å.
Positions (direct):
Yb1 0.2500 0.0629 0.1517  2 O 2.20-2.22
Yb2 0.2500 0.5629 0.3483  2 O 2.20-2.22
Yb3 0.7500 0.9371 0.8483  2 O 2.20-2.22
Yb4 0.7500 0.4371 0.6517  2 O 2.20-2.22
I1 0.2500 0.9305 0.9082  3 Yb 3.25-3.44, 1 I 3.30
I2 0.2500 0.4305 0.5918  3 Yb 3.25-3.44, 1 I 3.30
I3 0.7500 0.0695 0.0918  3 Yb 3.25-3.44, 1 I 3.30
I4 0.7500 0.5695 0.4082  3 Yb 3.25-3.44, 1 I 3.30
I5 0.7500 0.4190 0.9156  1 O 2.14
I6 0.7500 0.9190 0.5844  1 O 2.14
I7 0.2500 0.5810 0.0844  1 O 2.14
I8 0.2500 0.0810 0.4156  1 O 2.14
O1 0.2500 0.3857 0.2112  1 I 2.14, 2 Yb 2.20-2.22
O2 0.2500 0.8857 0.2888  1 I 2.14, 2 Yb 2.20-2.22
O3 0.7500 0.6143 0.7888  1 I 2.14, 2 Yb 2.20-2.22
O4 0.7500 0.1143 0.7112  1 I 2.14, 2 Yb 2.20-2.22

## Properties
* total energy: -0.1373 hartree per atom
* symmetry: No. 62
* formation energy (no corrections): -1.339 eV per atom


18.
DFT (PBE) results for a geometry-optimized Yb2I2O structure.

Unit cell a=8.5809 b=8.5809 c=14.5315 alpha=90.00 beta=90.00 gamma=90.00
Last column: nearest neighbours and their distance in Å.
Positions (direct):
Yb1 0.5000 0.5000 0.1425  1 O 2.07
Yb2 0.5000 0.5000 0.8575  1 O 2.07
I1 0.5000 0.5000 0.6572  1 Yb 2.91
I2 0.5000 0.5000 0.3428  1 Yb 2.91
O1 0.5000 0.5000 0.0000  2 Yb 2.07

## Properties
* total energy: -0.1176 hartree per atom
* symmetry: No. 123
* formation energy (no corrections): -0.977 eV per atom


19.
DFT (PBE) results for a geometry-optimized YbIO structure.

Unit cell a=5.8230 b=6.0789 c=10.6596 alpha=81.87 beta=90.00 gamma=90.00
Last column: nearest neighbours and their distance in Å.
Positions (direct):
Yb1 0.5175 0.7299 0.5813  4 O 2.28-2.29
Yb2 0.9825 0.2299 0.5813  4 O 2.28-2.29
Yb3 0.0175 0.7701 0.4187  4 O 2.28-2.29
Yb4 0.4825 0.2701 0.4187  4 O 2.28-2.29
I1 0.7502 0.9139 0.8365  2 I 3.04, 2 Yb 3.37-3.38
I2 0.7498 0.4139 0.8365  2 I 3.04, 2 Yb 3.37-3.38
I3 0.2502 0.5861 0.1635  2 I 3.04, 2 Yb 3.37-3.38
I4 0.2498 0.0861 0.1635  2 I 3.04, 2 Yb 3.37-3.38
O1 0.2500 0.9957 0.5172  4 Yb 2.28-2.29
O2 0.2500 0.4957 0.5172  4 Yb 2.28-2.29
O3 0.7500 0.5043 0.4828  4 Yb 2.28-2.29
O4 0.7500 0.0043 0.4828  4 Yb 2.28-2.29

## Properties
* total energy: -0.1756 hartree per atom
* symmetry: No. 14
* formation energy (no corrections): -2.100 eV per atom


20.
DFT (PBE) results for a geometry-optimized ZnIO structure.

Unit cell a=5.7475 b=5.7475 c=8.5872 alpha=70.45 beta=70.45 gamma=60.00
Last column: nearest neighbours and their distance in Å.
Positions (direct):
Zn1 0.0721 0.0721 0.7838  3 O 1.92
Zn2 0.4054 0.4054 0.7838  3 O 1.92
Zn3 0.7388 0.7388 0.7837  3 O 1.92
O1 0.7387 0.4054 0.7838  3 Zn 1.92
O2 0.0721 0.7387 0.7838  3 Zn 1.92
O3 0.4054 0.0721 0.7838  3 Zn 1.92
I1 0.5927 0.8848 0.2837  6 I 3.22-3.52
I2 0.8848 0.2388 0.2837  6 I 3.22-3.52
I3 0.2388 0.5927 0.2837  6 I 3.22-3.52

## Properties
* total energy: -0.1211 hartree per atom
* symmetry: No. 155
* formation energy (no corrections): -0.700 eV per atom